No. 1
The following is a DFT calculation (PBE) of a relaxed structure of RePd2.

Energy above the most stable polymorph in this dataset   0.0 meV/atom
Energy of formation   1.98 eV/f.u.

Cell and atoms, written as extended XYZ:
```
6
Lattice="2.799 0.885 4.118 2.126 4.537 0.686 -1.729 3.081 3.619" Properties=species:S:1:pos:R:3 pbc="T T T"
Re 0.799 2.126 2.106
Re 0.000 0.000 0.000
Pd 1.998 5.314 5.264
Pd 2.862 3.774 3.455
Pd 0.935 3.046 4.921
Pd 0.598 4.872 3.205
```



No. 2
The following is a DFT calculation (PBE) of a relaxed structure of BeCuSnMo.

Energy above the most stable polymorph in this dataset   53.4 meV/atom

Cell and atoms, written as extended XYZ:
```
4
Lattice="0.000 3.068 3.068 3.068 0.000 3.068 3.068 3.068 0.000" Properties=species:S:1:pos:R:3 pbc="T T T"
Be 1.534 1.534 1.534
Sn 0.000 0.000 0.000
Cu 4.602 4.602 4.602
Mo 3.068 3.068 3.068
```



No. 3
The following is a DFT calculation (PBE) of a relaxed structure of Pr2NdNi2B2C3.

Raw total energy   -0.5053 Ry per atom

Cell and atoms, written as extended XYZ:
```
10
Lattice="0.404 -10.719 -0.035 -4.331 -9.588 2.092 0.869 10.120 -3.448" Properties=species:S:1:pos:R:3 pbc="T T T"
Pr -1.461 -7.556 0.765
Pr -2.466 -12.751 1.292
C -1.964 -10.153 1.028
C -0.506 -2.616 0.265
C -3.422 -17.691 1.792
Ni -2.713 -4.811 -0.164
Ni -0.346 -5.376 -1.227
Nd 0.000 0.000 0.000
B -0.786 -4.066 0.412
B -3.141 -16.241 1.645
```



No. 4
The following is a DFT calculation (PBE) of a relaxed structure of PaAlPO.

Energy above the most stable polymorph in this dataset   156.7 meV/atom

Cell and atoms, written as extended XYZ:
```
8
Lattice="3.851 0.000 0.000 0.000 7.178 0.000 0.000 0.000 5.625" Properties=species:S:1:pos:R:3 pbc="T T T"
Al 1.926 2.827 0.199
Al 1.926 4.351 3.011
Pa 0.000 1.111 2.408
Pa 0.000 6.067 5.221
P 0.000 1.690 5.194
P 0.000 5.488 2.382
O 1.926 4.394 4.876
O 1.926 2.784 2.064
```



No. 5
The following is a DFT calculation (PBE) of a relaxed structure of Hf2AlPd3.

Raw total energy   -0.5301 Ry per atom

Cell and atoms, written as extended XYZ:
```
12
Lattice="5.346 0.000 0.000 -2.673 4.629 0.000 0.000 0.000 8.190" Properties=species:S:1:pos:R:3 pbc="T T T"
Al 0.000 0.000 4.095
Al 0.000 0.000 0.000
Pd 0.000 1.565 6.142
Pd 1.355 0.782 2.048
Pd 1.318 3.847 6.142
Pd 2.673 3.065 2.048
Pd 3.990 0.782 2.048
Pd -1.318 3.847 6.142
Hf 2.673 1.543 7.740
Hf 0.000 3.086 0.450
Hf 0.000 3.086 3.645
Hf 2.673 1.543 4.545
```



No. 6
The following is a DFT calculation (PBE) of a relaxed structure of TaCd2HgF6.

Raw total energy   -0.3493 Ry per atom

Cell and atoms, written as extended XYZ:
```
10
Lattice="-4.256 -1.838 -1.767 1.719 -1.516 4.400 -3.690 5.379 3.295" Properties=species:S:1:pos:R:3 pbc="T T T"
F 0.609 -0.210 3.523
F -4.462 3.972 2.231
F -1.367 -0.227 1.337
F -3.485 -0.430 -0.703
F -2.580 4.073 4.173
F -4.860 2.252 4.591
Ta 0.000 0.000 0.000
Cd -4.110 0.959 1.936
Cd -2.118 1.066 3.992
Hg -1.845 2.689 1.647
```



No. 7
The following is a DFT calculation (PBE) of a relaxed structure of GdErSc.

Energy above the most stable polymorph in this dataset   0.0 meV/atom
Energy of formation   2.06 eV/f.u.

Cell and atoms, written as extended XYZ:
```
3
Lattice="4.003 1.220 3.144 0.194 4.705 2.284 -0.764 0.438 5.159" Properties=species:S:1:pos:R:3 pbc="T T T"
Sc 0.000 0.000 0.000
Gd 2.575 4.772 7.941
Er 0.858 1.591 2.647
```



No. 8
The following is a DFT calculation (PBE) of a relaxed structure of Cs2NiBr5.

Raw total energy   -0.2216 Ry per atom

Cell and atoms, written as extended XYZ:
```
8
Lattice="-3.897 3.897 5.170 3.897 -3.897 5.170 3.897 3.897 -5.170" Properties=species:S:1:pos:R:3 pbc="T T T"
Br 2.222 -2.222 5.067
Br 0.000 0.000 2.671
Br 2.222 2.222 5.067
Br -2.222 2.222 5.067
Br 1.676 1.676 -0.102
Cs 3.897 0.000 2.501
Cs 0.000 3.897 2.501
Ni 0.000 0.000 0.202
```



No. 9
The following is a DFT calculation (PBE) of a relaxed structure of La2NdTe3.

Raw total energy   -0.4078 Ry per atom

Cell and atoms, written as extended XYZ:
```
6
Lattice="-2.633 -3.682 0.506 4.471 -0.480 -0.726 1.810 0.218 11.001" Properties=species:S:1:pos:R:3 pbc="T T T"
Te 0.905 0.109 5.501
Te 1.252 -2.432 9.318
Te 2.395 -1.512 1.463
Nd 0.000 0.000 0.000
La 0.333 -2.543 3.733
La 3.314 -1.402 7.048
```



No. 10
The following is a DFT calculation (PBE) of a relaxed structure of NaHoInTe3.

Raw total energy   -0.2786 Ry per atom

Cell and atoms, written as extended XYZ:
```
12
Lattice="2.212 -7.649 0.000 2.212 7.649 0.000 0.000 0.000 11.370" Properties=species:S:1:pos:R:3 pbc="T T T"
Te 2.212 2.141 5.148
Te 2.212 2.141 0.537
Te 2.212 -2.141 6.222
Te 2.212 -2.141 10.832
Te 2.212 6.073 2.842
Te 2.212 -6.073 8.527
Na 2.212 -4.119 2.842
Na 2.212 4.119 8.527
Ho 0.000 0.000 0.000
Ho 0.000 0.000 5.685
In 2.212 -0.379 8.527
In 2.212 0.379 2.842
```



No. 11
The following is a DFT calculation (PBE) of a relaxed structure of CdSnTeO.

Energy above the most stable polymorph in this dataset   76.6 meV/atom

Cell and atoms, written as extended XYZ:
```
16
Lattice="6.456 0.000 0.000 0.000 9.776 0.000 0.000 0.000 6.362" Properties=species:S:1:pos:R:3 pbc="T T T"
Te 6.335 3.228 3.847
Te 3.349 3.228 0.666
Te 3.107 6.548 3.847
Te 0.121 6.548 0.666
O 3.695 8.860 0.670
O 0.467 0.916 0.670
O 5.989 8.860 3.851
O 2.761 0.916 3.851
Cd 5.746 9.094 6.087
Cd 2.518 0.682 6.087
Cd 3.938 9.094 2.906
Cd 0.710 0.682 2.906
Sn 0.086 3.112 0.529
Sn 6.370 6.664 3.710
Sn 3.142 3.112 3.710
Sn 3.314 6.664 0.529
```



No. 12
The following is a DFT calculation (PBE) of a relaxed structure of GdYB5.

Raw total energy   -0.4879 Ry per atom

Cell and atoms, written as extended XYZ:
```
7
Lattice="-2.472 -0.658 -2.757 0.603 -7.281 1.197 -1.980 -6.332 3.287" Properties=species:S:1:pos:R:3 pbc="T T T"
B -1.621 -4.130 -0.126
B -2.072 -8.594 1.344
B -1.924 -7.130 0.862
B -1.776 -5.664 0.379
B -2.228 -10.129 1.849
Y -0.185 -1.825 0.601
Gd -1.196 -11.818 3.893
```



No. 13
The following is a DFT calculation (PBE) of a relaxed structure of Zr2HgSe4.

Energy above the most stable polymorph in this dataset   329.4 meV/atom

Cell and atoms, written as extended XYZ:
```
7
Lattice="-3.563 3.563 5.255 3.563 -3.563 5.255 3.563 3.563 -5.255" Properties=species:S:1:pos:R:3 pbc="T T T"
Se 1.678 1.251 3.808
Se 1.885 2.312 -1.447
Se -1.251 1.678 6.702
Se 4.814 1.885 1.447
Hg 0.000 0.000 0.000
Zr 3.563 0.000 2.627
Zr 0.000 0.000 5.255
```



No. 14
The following is a DFT calculation (PBE) of a relaxed structure of LuNpGa.

Energy above the most stable polymorph in this dataset   0.0 meV/atom

Cell and atoms, written as extended XYZ:
```
3
Lattice="-1.433 0.686 4.511 -4.667 0.218 1.020 -2.089 -3.561 2.413" Properties=species:S:1:pos:R:3 pbc="T T T"
Lu -2.047 -0.664 1.986
Ga 0.000 0.000 0.000
Np -6.142 -1.993 5.958
```



No. 15
The following is a DFT calculation (PBE) of a relaxed structure of Dy2ErAs3.

Raw total energy   -0.4520 Ry per atom

Cell and atoms, written as extended XYZ:
```
6
Lattice="-3.585 0.417 -1.948 0.087 -0.314 4.088 0.753 9.975 0.751" Properties=species:S:1:pos:R:3 pbc="T T T"
As 0.000 0.000 0.000
As -1.860 6.804 0.563
As -0.884 3.274 2.328
Dy -0.510 8.235 2.702
Dy -2.235 1.843 0.190
Er 0.376 4.988 0.376
```



No. 16
The following is a DFT calculation (PBE) of a relaxed structure of KTbZnTe3.

Raw total energy   -0.2792 Ry per atom

Cell and atoms, written as extended XYZ:
```
12
Lattice="-6.714 -0.042 6.449 2.310 -2.897 2.386 7.204 7.802 2.499" Properties=species:S:1:pos:R:3 pbc="T T T"
K 0.953 1.412 2.826
K 1.846 3.451 8.508
Zn -1.628 0.836 8.695
Zn 4.428 4.028 2.639
Te 4.204 2.098 4.582
Te -1.405 2.766 6.752
Te -3.376 -1.049 8.099
Te -0.204 -0.974 5.120
Te 3.004 5.837 6.214
Te 6.175 5.912 3.235
Tb 5.801 4.536 5.996
Tb -3.002 0.327 5.338
```



No. 17
The following is a DFT calculation (PBE) of a relaxed structure of Sc2InCo.

Raw total energy   -0.4439 Ry per atom

Cell and atoms, written as extended XYZ:
```
4
Lattice="3.206 0.000 0.000 0.000 3.206 0.000 0.000 0.000 7.308" Properties=species:S:1:pos:R:3 pbc="T T T"
In 0.000 0.000 3.654
Sc 1.603 1.603 5.806
Sc 1.603 1.603 1.502
Co 0.000 0.000 0.000
```



No. 18
The following is a DFT calculation (PBE) of a relaxed structure of NaNiHgSb.

Energy above the most stable polymorph in this dataset   0.0 meV/atom

Cell and atoms, written as extended XYZ:
```
4
Lattice="0.000 3.398 3.398 3.398 0.000 3.398 3.398 3.398 0.000" Properties=species:S:1:pos:R:3 pbc="T T T"
Sb 0.000 0.000 0.000
Hg 3.398 3.398 3.398
Na 5.097 5.097 5.097
Ni 1.699 1.699 1.699
```



No. 19
The following is a DFT calculation (PBE) of a relaxed structure of TbAs2.

Raw total energy   -0.4030 Ry per atom

Cell and atoms, written as extended XYZ:
```
6
Lattice="-2.525 -2.092 -4.291 1.307 -2.574 -4.564 -0.368 -5.913 5.279" Properties=species:S:1:pos:R:3 pbc="T T T"
Tb -0.264 -1.797 -0.531
Tb -1.322 -8.782 -3.045
As -0.416 -4.035 1.287
As -1.170 -6.544 -4.864
As -1.002 -7.782 -0.313
As -0.584 -2.797 -3.264
```



No. 20
The following is a DFT calculation (PBE) of a relaxed structure of Dy2Ho2SiI5.

Raw total energy   -0.3165 Ry per atom

Cell and atoms, written as extended XYZ:
```
10
Lattice="9.526 -2.090 0.000 9.526 2.090 0.000 -1.958 0.000 8.542" Properties=species:S:1:pos:R:3 pbc="T T T"
I 14.574 0.000 5.657
I 1.635 0.000 7.078
I 15.458 0.000 1.464
I 2.519 0.000 2.886
I 8.546 0.000 4.271
Ho -0.400 0.000 1.778
Ho 17.493 0.000 6.764
Dy 4.946 0.000 7.913
Dy 12.147 0.000 0.629
Si 9.526 0.000 0.000
```